# KAg2HgBr6

A geometry-optimized KAg2HgBr6 structure (PBE, Alexandria via LeMat-Bulk).

Geometry as extended XYZ:
```
20
Lattice="8.161 0.431 0.447 3.146 10.027 -0.020 3.146 -0.392 10.019" Properties=species:S:1:pos:R:3 pbc="T T T"
K 5.186 8.978 1.205
K 9.267 1.087 9.240
Ag 6.461 7.432 6.559
Ag 3.912 3.571 2.552
Ag 7.992 2.634 3.886
Ag 10.541 6.495 7.893
Hg 5.186 2.056 7.876
Hg 9.267 8.009 2.570
Br 7.196 9.310 8.161
Br 3.176 2.040 0.616
Br 7.257 0.755 2.285
Br 11.277 8.025 9.829
Br 7.216 8.665 3.878
Br 3.157 6.296 1.419
Br 7.238 1.400 6.568
Br 11.296 3.769 9.027
Br 4.360 6.280 5.678
Br 6.012 4.408 3.736
Br 10.093 3.785 4.767
Br 8.441 5.657 6.710
```

V (Å³/atom): 39.58
Symmetry: C2/c, No. 15
Raw formation energy (meV per atom): -571
Uncorrected energy (eV/atom): -2.29
D(E_F) (states/eV/cell): 5.099